{"formula": "TbAl2In", "functional": "PBE-GGA", "state": "optimized geometry", "lattice": [[4.581, 0.000, 0.000], [2.290, 3.967, 0.000], [2.290, 1.322, 5.064]], "species": ["Al", "In", "Al", "Tb"], "fractional_positions": [[0.721, 0.721, 0.837], [0.000, 0.000, 0.000], [0.279, 0.279, 0.163], [0.500, 0.500, 0.500]], "volume_a3_per_atom": 23.0, "e_above_lowest_polymorph_mev_per_atom": 249.6, "dft_energy_ev_per_cell": -15.38}


{"formula": "TbAlIn", "functional": "PBE-GGA", "state": "optimized geometry", "lattice": [[3.551, 0.000, 0.000], [0.000, 4.758, 0.000], [0.000, -2.379, 4.121]], "species": ["In", "Al", "Tb"], "fractional_positions": [[0.167, 0.333, 0.667], [0.167, 0.000, 0.000], [0.666, 0.667, 0.333]], "volume_a3_per_atom": 23.2, "dft_energy_ev_per_cell": -12.43}


Summary of energy of formation from the pure elements in eV/atom
-0.131 -0.439
(order as listed above)